An optimized crystal structure of Nb6V3Ni3C2. Source: the Alexandria database, functional PBEsol.

Results
The energy is -9.7500 eV/atom. The crystal system is orthorhombic.

a b c (Å): 8.0876 8.1153 11.4800
angles (deg): 90.00 90.00 90.00
Space group Imm2 (No. 44)
Unique sites:
Nb: 0.0000 0.0000 0.0000 (multiplicity 2)
Nb: 0.0000 0.0000 0.3806 (multiplicity 2)
Nb: 0.0000 0.5000 0.1320 (multiplicity 2)
Nb: 0.0000 0.5000 0.7494 (multiplicity 2)
Nb: 0.1905 0.3104 0.9354 (multiplicity 8)
Nb: 0.1919 0.1905 0.1852 (multiplicity 8)
V: 0.0000 0.2522 0.5669 (multiplicity 4)
V: 0.0000 0.3380 0.3559 (multiplicity 4)
V: 0.2417 0.0000 0.8133 (multiplicity 4)
Ni: 0.0000 0.1538 0.7623 (multiplicity 4)
Ni: 0.1537 0.5000 0.5145 (multiplicity 4)
Ni: 0.1571 0.0000 0.6078 (multiplicity 4)
C: 0.0000 0.2496 0.0617 (multiplicity 4)
C: 0.2483 0.0000 0.3101 (multiplicity 4)